The following is a DFT calculation (PBE-GGA) of a relaxed Ac2TlTe3 crystal.

Results
**E_form (uncorrected)**: -1.046 eV per atom
**Space group**: Immm, No. 71
**Size of the total moment**: 0.0 μB per formula unit
**Raw total energy**: -26.28 eV per cell
**Polymorph energy (0 for the lowest one)**: 19.3 kJ per mole of atoms

```
Ac2TlTe3
1.0
-2.093 2.872 9.324
2.093 -2.872 9.324
2.093 2.872 -9.324
Ac Tl Te
2 1 3
Direct
0.146 0.146 0.000 Ac
0.854 0.854 0.000 Ac
0.500 0.500 0.000 Tl
0.000 0.500 0.500 Te
0.324 0.324 0.000 Te
0.676 0.676 0.000 Te
```